1.
{"formula": "Li4Ag7Sn", "functional": "GGA-PBE", "state": "relaxed", "lattice": [[5.1137, 0.0000, 0.0000], [2.5568, 8.7235, -0.2943], [2.5568, 0.1661, 5.2405]], "species": ["Li", "Li", "Li", "Li", "Ag", "Ag", "Ag", "Ag", "Ag", "Ag", "Ag", "Sn"], "fractional_positions": [[0.6031, 0.2290, 0.5648], [0.3969, 0.7710, 0.4352], [0.7297, 0.6859, 0.8546], [0.2703, 0.3141, 0.1454], [0.7938, 0.9124, 0.5001], [0.2062, 0.0876, 0.4999], [0.0430, 0.6154, 0.2986], [0.9570, 0.3846, 0.7014], [0.3490, 0.5303, 0.7717], [0.5000, 0.0000, 0.0000], [0.6510, 0.4697, 0.2283], [0.0000, 0.0000, 0.0000]], "space_group": "No. 12", "crystal_system": "monoclinic", "de_polymorph_ev_per_atom": 0.138, "dos_ef_per_ev_cell": 4.1, "formation_energy_mev_per_atom": -22}

2.
{"formula": "Li6AgSn2", "functional": "GGA-PBE", "state": "relaxed", "lattice": [[4.5870, 0.0000, 0.0014], [0.0000, 8.2269, 0.0000], [-0.0024, 0.0000, 8.4199]], "species": ["Li", "Li", "Li", "Li", "Li", "Li", "Li", "Li", "Li", "Li", "Li", "Li", "Ag", "Ag", "Sn", "Sn", "Sn", "Sn"], "fractional_positions": [[0.0000, 0.9911, 0.1789], [0.0000, 0.6714, 0.5687], [0.0000, 0.6698, 0.8946], [0.5000, 0.1698, 0.6054], [0.5000, 0.1714, 0.9313], [0.5000, 0.4911, 0.3211], [0.0000, 0.0089, 0.8211], [0.0000, 0.3286, 0.4313], [0.0000, 0.3302, 0.1054], [0.5000, 0.8302, 0.3946], [0.5000, 0.8286, 0.0687], [0.5000, 0.5089, 0.6789], [0.5000, 0.5000, 0.0000], [0.0000, 0.0000, 0.5000], [0.0000, 0.3434, 0.7717], [0.5000, 0.8434, 0.7283], [0.5000, 0.1566, 0.2717], [0.0000, 0.6566, 0.2283]], "space_group": "No. 58", "crystal_system": "orthorhombic", "de_polymorph_ev_per_atom": 0.012, "dos_ef_per_ev_cell": 5.8, "formation_energy_mev_per_atom": -331}

3.
{"formula": "Li5Ag2Sn", "functional": "GGA-PBE", "state": "relaxed", "lattice": [[7.1497, 0.0000, 0.0000], [0.0000, 7.1497, 0.0000], [-3.5749, -3.5749, 5.5995]], "species": ["Li", "Li", "Li", "Li", "Li", "Li", "Li", "Li", "Li", "Li", "Ag", "Ag", "Ag", "Ag", "Sn", "Sn"], "fractional_positions": [[0.5011, 0.6847, 0.6858], [0.8153, 0.9989, 0.3142], [0.0000, 0.0000, 0.0000], [0.5000, 0.5000, 0.0000], [0.1847, 0.0011, 0.6858], [0.6847, 0.1847, 0.6858], [0.0011, 0.5011, 0.6858], [0.3153, 0.8153, 0.3142], [0.9989, 0.4989, 0.3142], [0.4989, 0.3153, 0.3142], [0.1384, 0.3616, 0.0000], [0.6384, 0.1384, 0.0000], [0.3616, 0.8616, 0.0000], [0.8616, 0.6384, 0.0000], [0.7500, 0.7500, 0.5000], [0.2500, 0.2500, 0.5000]], "space_group": "No. 140", "crystal_system": "tetragonal", "de_polymorph_ev_per_atom": 0.065, "dos_ef_per_ev_cell": 5.1, "formation_energy_mev_per_atom": -213}

4.
{"formula": "Li4AgSn", "functional": "GGA-PBE", "state": "relaxed", "lattice": [[-3.1434, -4.1075, 0.4427], [-0.3915, -3.4014, -3.9021], [2.0061, -4.7621, 0.4967]], "species": ["Sn", "Ag", "Li", "Li", "Li", "Li"], "fractional_positions": [[0.2500, 0.2500, 0.2500], [0.0000, 0.0000, 0.0000], [0.6246, 0.6246, 0.1262], [0.6246, 0.1262, 0.6246], [0.6246, 0.6246, 0.6246], [0.1262, 0.6246, 0.6246]], "space_group": "No. 216", "crystal_system": "cubic", "de_polymorph_ev_per_atom": 0.167, "dos_ef_per_ev_cell": 1.3, "formation_energy_mev_per_atom": -149}

5.
{"formula": "Li4AgSn3", "functional": "GGA-PBE", "state": "relaxed", "lattice": [[-3.3432, -0.9040, -0.3116], [0.8689, -3.3452, 0.3824], [-1.4546, 1.0561, 12.5450]], "species": ["Sn", "Sn", "Sn", "Ag", "Li", "Li", "Li", "Li"], "fractional_positions": [[0.5000, 0.5000, 0.2353], [0.5000, 0.5000, 0.5000], [0.5000, 0.5000, 0.7647], [0.5000, 0.5000, 0.0000], [0.0000, 0.0000, 0.8868], [0.0000, 0.0000, 0.1132], [0.0000, 0.0000, 0.3679], [0.0000, 0.0000, 0.6321]], "space_group": "No. 123", "crystal_system": "tetragonal", "dos_ef_per_ev_cell": 2.4, "formation_energy_mev_per_atom": -297}

6.
{"formula": "LiAg2Sn2", "functional": "GGA-PBE", "state": "relaxed", "lattice": [[8.3812, 0.0000, 0.0000], [0.0000, 8.3812, 0.0000], [0.0000, 0.0000, 3.2725]], "species": ["Sn", "Sn", "Sn", "Sn", "Ag", "Ag", "Ag", "Ag", "Li", "Li"], "fractional_positions": [[0.3456, 0.8456, 0.0000], [0.8456, 0.6544, 0.0000], [0.6544, 0.1544, 0.0000], [0.1544, 0.3456, 0.0000], [0.1434, 0.6434, 0.5000], [0.6434, 0.8566, 0.5000], [0.8566, 0.3566, 0.5000], [0.3566, 0.1434, 0.5000], [0.0000, 0.0000, 0.0000], [0.5000, 0.5000, 0.0000]], "space_group": "No. 127", "crystal_system": "tetragonal", "de_polymorph_ev_per_atom": 0.123, "dos_ef_per_ev_cell": 3.5, "formation_energy_mev_per_atom": -10}